Tb2WSe (GGA-PBE, relaxed); V = 98 Å³ per cell; uncorrected formation energy = 258 meV per atom
1.0
3.4315 0.0000 0.0000
1.7157 2.9718 0.0000
1.7157 0.9906 9.5977
Se Tb W
1 2 1
Cartesian
3.4315 1.9812 4.7989
1.7157 0.9906 6.7994
5.1472 2.9718 2.7983
0.0000 0.0000 0.0000